# 1
DFT (PBE-GGA) results for an optimized crystal structure of NdLuOsRh.

Its formation energy is -1.5 eV/f.u. Its density of states at the Fermi level is 3.56 states/eV/f.u.

Unit cell a=6.8817 b=6.8817 c=6.8817 alpha=90.00 beta=90.00 gamma=90.00
With the nearest neighbours (Å) after each atom.
Space group F-43m (No. 216)
Unique sites:
Nd 0.0000 0.0000 0.0000 [4 per cell]  4 Rh 2.98, 4 Os 2.98
Lu 0.0000 0.0000 0.5000 [4 per cell]  4 Os 2.98, 4 Rh 2.98
Os 0.2500 0.2500 0.7500 [4 per cell]  4 Nd 2.98, 4 Lu 2.98
Rh 0.2500 0.2500 0.2500 [4 per cell]  4 Nd 2.98, 4 Lu 2.98

---

# 2
DFT (PBE-GGA) results for an optimized crystal structure of TaCu3Re.

Its formation energy is 8.7 eV/f.u. Its energy above the most stable polymorph in this dataset is 0.00 kcal/mol of atoms. Its density of states at the Fermi level is 6.78 states/eV/f.u.

Unit cell a=4.5033 b=4.5033 c=4.5033 alpha=90.00 beta=90.00 gamma=90.00
With the nearest neighbours (Å) after each atom.
Space group Pm-3m (No. 221)
Unique sites:
Ta 0.0000 0.0000 0.0000 [1 per cell]  12 Cu 3.18
Cu 0.0000 0.5000 0.5000 [3 per cell]  2 Re 2.25
Re 0.5000 0.5000 0.5000 [1 per cell]  6 Cu 2.25

---

# 3
DFT (PBE-GGA) results for an optimized crystal structure of ZrMnTe2.

Its energy above the most stable polymorph in this dataset is 0.34 kcal/mol of atoms. Its density of states at the Fermi level is 2.09 states/eV/f.u.

Unit cell a=3.7460 b=3.7460 c=7.2887 alpha=90.00 beta=90.00 gamma=90.00
With the nearest neighbours (Å) after each atom.
Space group P4mm (No. 99)
Unique sites:
Zr 0.0000 0.0000 0.0000 [1 per cell]  5 Te 2.81-2.92, 4 Mn 3.14
Mn 0.5000 0.5000 0.2304 [1 per cell]  5 Te 2.88-2.91, 4 Zr 3.14
Te 0.0000 0.0000 0.3858 [1 per cell]  1 Zr 2.81, 4 Mn 2.88
Te 0.5000 0.5000 0.8317 [1 per cell]  1 Mn 2.91, 4 Zr 2.92

---

# 4
DFT (PBE-GGA) results for an optimized crystal structure of HgSbTeI2.

Its energy above the most stable polymorph in this dataset is 4.49 kcal/mol of atoms. Its density of states at the Fermi level is 2.51 states/eV/f.u.

Unit cell a=6.1074 b=6.1074 c=6.1182 alpha=90.00 beta=90.00 gamma=90.00
With the nearest neighbours (Å) after each atom.
Space group P4/mmm (No. 123)
Unique sites:
Hg 0.0000 0.0000 0.0000 [1 per cell]  4 Sb 4.32, 8 I 4.32
Sb 0.5000 0.5000 0.0000 [1 per cell]  2 Te 3.06
Te 0.5000 0.5000 0.5000 [1 per cell]  4 I 3.05, 2 Sb 3.06
I 0.0000 0.5000 0.5000 [2 per cell]  2 Te 3.05

---

# 5
DFT (PBE-GGA) results for an optimized crystal structure of LaNdNiCl.

Its total energy is -5.247 eV/atom. Its density of states at the Fermi level is 3.48 states/eV/f.u.

Unit cell a=4.0685 b=4.0685 c=22.8678 alpha=90.00 beta=90.00 gamma=120.00
With the nearest neighbours (Å) after each atom.
Space group R3m (No. 160, hexagonal axes)
Unique sites:
La 0.0000 0.0000 0.0000 [3 per cell]  3 Ni 2.79
Nd 0.0000 0.0000 0.1997 [3 per cell]  3 Ni 2.81
Ni 0.0000 0.0000 0.6004 [3 per cell]  3 La 2.79, 3 Nd 2.81
Cl 0.0000 0.0000 0.4324 [3 per cell]  3 La 3.26, 3 Nd 3.29

---

# 6
DFT (PBE-GGA) results for an optimized crystal structure of Ac3Ge.

Its formation energy is -0.5 eV/f.u. Its energy above the most stable polymorph in this dataset is 5.40 kcal/mol of atoms. Its density of states at the Fermi level is 4.34 states/eV/f.u.

Unit cell a=5.0928 b=5.0928 c=10.9507 alpha=90.00 beta=90.00 gamma=90.00
With the nearest neighbours (Å) after each atom.
Space group I4/mmm (No. 139)
Unique sites:
Ac 0.0000 0.0000 0.0000 [2 per cell]  4 Ge 3.60, 8 Ac 3.74
Ac 0.0000 0.5000 0.2500 [4 per cell]  8 Ac 3.60-3.74, 4 Ge 3.74
Ge 0.0000 0.0000 0.5000 [2 per cell]  12 Ac 3.60-3.74

---

# 7
DFT (PBE-GGA) results for an optimized crystal structure of AlSi2PtRh.

Its energy above the most stable polymorph in this dataset is 0.00 kcal/mol of atoms. Its density of states at the Fermi level is 1.61 states/eV/f.u.

Unit cell a=4.4834 b=4.4834 c=4.6899 alpha=90.00 beta=90.00 gamma=90.00
With the nearest neighbours (Å) after each atom.
Space group P4/mmm (No. 123)
Unique sites:
Al 0.0000 0.0000 0.0000 [1 per cell]  2 Rh 2.34
Si 0.0000 0.5000 0.5000 [2 per cell]  2 Rh 2.24
Pt 0.5000 0.5000 0.0000 [1 per cell]  4 Al 3.17, 8 Si 3.24
Rh 0.0000 0.0000 0.5000 [1 per cell]  4 Si 2.24, 2 Al 2.34

---

# 8
DFT (PBE-GGA) results for an optimized crystal structure of Sb2Br.

Its energy above the most stable polymorph in this dataset is 7.81 kcal/mol of atoms. Its density of states at the Fermi level is 1.58 states/eV/f.u.

Unit cell a=4.6144 b=23.4110 c=3.8921 alpha=90.00 beta=90.00 gamma=90.00
With the nearest neighbours (Å) after each atom.
Space group Cmcm (No. 63)
Unique sites:
Sb 0.0000 0.0473 0.2500 [4 per cell]  2 Sb 2.95, 4 Br 3.11
Sb 0.0000 0.2382 0.7500 [4 per cell]  4 Sb 3.07
Br 0.0000 0.4204 0.2500 [4 per cell]  4 Sb 3.11

---

# 9
DFT (PBE-GGA) results for an optimized crystal structure of HfTiZnCd.

Its formation energy is -0.2 eV/f.u. Its density of states at the Fermi level is 4.39 states/eV/f.u.

Unit cell a=3.0388 b=3.0388 c=7.9798 alpha=90.00 beta=90.00 gamma=90.00
With the nearest neighbours (Å) after each atom.
Space group P4mm (No. 99)
Unique sites:
Hf 0.0000 0.0000 0.0000 [1 per cell]  4 Zn 2.88, 4 Hf 3.04, 4 Cd 3.11
Ti 0.0000 0.0000 0.5401 [1 per cell]  4 Zn 2.77, 4 Cd 2.98, 4 Ti 3.04
Zn 0.5000 0.5000 0.7592 [1 per cell]  4 Ti 2.77, 4 Hf 2.88, 4 Zn 3.04
Cd 0.5000 0.5000 0.2815 [1 per cell]  4 Ti 2.98, 4 Cd 3.04, 4 Hf 3.11

---

# 10
DFT (PBE-GGA) results for an optimized crystal structure of ZnSi2Br.

Its energy above the most stable polymorph in this dataset is 7.58 kcal/mol of atoms. Its density of states at the Fermi level is 1.86 states/eV/f.u.

Unit cell a=5.3322 b=5.3322 c=5.5156 alpha=90.00 beta=90.00 gamma=90.00
With the nearest neighbours (Å) after each atom.
Space group I4/mmm (No. 139)
Unique sites:
Zn 0.0000 0.0000 0.0000 [2 per cell]  4 Si 2.67, 2 Br 2.76
Si 0.0000 0.5000 0.0000 [4 per cell]  2 Br 2.67, 2 Zn 2.67, 2 Si 2.76
Br 0.0000 0.0000 0.5000 [2 per cell]  4 Si 2.67, 2 Zn 2.76

---

# 11
DFT (PBE-GGA) results for an optimized crystal structure of TaBeAlTc2.

Its formation energy is 2.0 eV/f.u. Its density of states at the Fermi level is 4.13 states/eV/f.u.

Unit cell a=4.1701 b=4.1701 c=4.3411 alpha=90.00 beta=90.00 gamma=90.00
With the nearest neighbours (Å) after each atom.
Space group P4/mmm (No. 123)
Unique sites:
Ta 0.0000 0.0000 0.0000 [1 per cell]  2 Be 2.17
Be 0.0000 0.0000 0.5000 [1 per cell]  4 Tc 2.09, 2 Ta 2.17
Al 0.5000 0.5000 0.0000 [1 per cell]  4 Ta 2.95, 8 Tc 3.01
Tc 0.0000 0.5000 0.5000 [2 per cell]  2 Be 2.09

---

# 12
DFT (PBE-GGA) results for an optimized crystal structure of CaBeAs2Se.

Its energy above the most stable polymorph in this dataset is 30.14 kcal/mol of atoms. Its density of states at the Fermi level is 5.72 states/eV/f.u.

Unit cell a=5.3962 b=5.3962 c=5.2847 alpha=90.00 beta=90.00 gamma=90.00
With the nearest neighbours (Å) after each atom.
Space group P4/mmm (No. 123)
Unique sites:
Ca 0.0000 0.0000 0.0000 [1 per cell]  2 Se 2.64, 4 As 2.70
Be 0.5000 0.5000 0.5000 [1 per cell]  8 As 3.78, 4 Se 3.82
As 0.0000 0.5000 0.0000 [2 per cell]  2 Ca 2.70
Se 0.0000 0.0000 0.5000 [1 per cell]  2 Ca 2.64

---

# 13
DFT (PBE-GGA) results for an optimized crystal structure of Li2Mg2Si4O11.

Its total energy is -7.094 eV/atom. Its density of states at the Fermi level is 0.00 states/eV/f.u.

Unit cell a=6.9777 b=7.5279 c=8.7483 alpha=99.36 beta=101.14 gamma=105.22
With the nearest neighbours (Å) after each atom.
Space group P-1 (No. 2)
Unique sites:
Li 0.1118 0.2877 0.1946 [2 per cell]  4 O 2.05-2.19
Li 0.3589 0.7475 0.8475 [2 per cell]  2 O 1.96-2.01
Mg 0.1345 0.8759 0.5999 [2 per cell]  5 O 2.03-2.22
Mg 0.3814 0.1184 0.3893 [2 per cell]  5 O 2.01-2.21
Si 0.0218 0.7245 0.2251 [2 per cell]  4 O 1.62-1.65
Si 0.2596 0.1080 0.9672 [2 per cell]  4 O 1.60-1.68
Si 0.2692 0.4730 0.5956 [2 per cell]  4 O 1.62-1.68
Si 0.4578 0.7259 0.2331 [2 per cell]  4 O 1.62-1.65
O 0.0912 0.9092 0.3709 [2 per cell]  1 Si 1.62
O 0.0997 0.2370 0.9409 [2 per cell]  2 Si 1.64-1.67
O 0.1214 0.4596 0.7265 [2 per cell]  2 Si 1.65-1.68
O 0.1731 0.3046 0.4360 [2 per cell]  1 Si 1.62
O 0.1766 0.9058 0.8403 [2 per cell]  1 Si 1.62
O 0.2078 0.6505 0.1796 [2 per cell]  2 Si 1.63
O 0.3162 0.1174 0.1553 [2 per cell]  1 Si 1.60
O 0.3201 0.6931 0.5853 [2 per cell]  1 Si 1.62
O 0.4385 0.0831 0.6269 [2 per cell]  1 Si 1.62
O 0.4757 0.2403 0.9333 [2 per cell]  2 Si 1.65-1.68
O 0.4817 0.4505 0.7041 [2 per cell]  2 Si 1.64-1.66

---

# 14
DFT (PBE-GGA) results for an optimized crystal structure of Fe2CoH3.

Its total energy is -5.695 eV/atom. Its density of states at the Fermi level is 3.47 states/eV/f.u.

Unit cell a=5.2917 b=3.7356 c=7.9141 alpha=90.00 beta=90.00 gamma=90.00
With the nearest neighbours (Å) after each atom.
Space group Pnma (No. 62)
Unique sites:
Fe 0.1262 0.2500 0.2498 [4 per cell]  6 H 1.86-1.89
Fe 0.1268 0.2500 0.5839 [4 per cell]  6 H 1.86-1.88
Co 0.1234 0.2500 0.9175 [4 per cell]  6 H 1.84-1.88
H 0.1211 0.7500 0.9180 [4 per cell]  3 Co 1.84-1.87, 3 Fe 1.86-1.89
H 0.1243 0.7500 0.2500 [4 per cell]  4 Fe 1.86-1.87, 2 Co 1.86-1.88
H 0.1255 0.7500 0.5827 [4 per cell]  5 Fe 1.86-1.88, 1 Co 1.86

---

# 15
DFT (PBE-GGA) results for an optimized crystal structure of LaTm3Cd2.

Its formation energy is -0.8 eV/f.u. Its energy above the most stable polymorph in this dataset is 1.20 kcal/mol of atoms. Its density of states at the Fermi level is 5.99 states/eV/f.u.

Unit cell a=15.8956 b=5.4389 c=8.8966 alpha=90.00 beta=115.97 gamma=90.00
With the nearest neighbours (Å) after each atom.
Space group C2/m (No. 12)
Unique sites:
La 0.1344 0.0000 0.1830 [4 per cell]  5 Cd 3.29-3.46, 4 Tm 3.53-3.63
Tm 0.0636 0.0000 0.7212 [4 per cell]  3 Cd 3.25-3.31, 6 Tm 3.44-3.63, 1 La 3.60
Tm 0.1163 0.5000 0.5407 [4 per cell]  4 Cd 2.98-3.21
Tm 0.1933 0.5000 0.9939 [4 per cell]  2 Cd 2.97-3.23, 2 Tm 3.24
Cd 0.0148 0.5000 0.1691 [4 per cell]  1 Cd 2.83, 2 Tm 2.97-2.98
Cd 0.2312 0.0000 0.6052 [4 per cell]  5 Tm 3.18-3.25, 3 La 3.38-3.46, 2 Cd 3.50

---

# 16
DFT (PBE-GGA) results for an optimized crystal structure of MgPa2MoN5.

Its total energy is -9.179 eV/atom. Its density of states at the Fermi level is 4.93 states/eV/f.u.

Unit cell a=3.4431 b=13.1686 c=9.6858 alpha=90.00 beta=90.00 gamma=90.00
With the nearest neighbours (Å) after each atom.
Space group Cmc2_1 (No. 36)
Unique sites:
Mg 0.0000 0.0265 0.0000 [4 per cell]  4 N 1.98-2.17
Pa 0.0000 0.3599 0.8186 [4 per cell]  6 N 2.32-2.54
Pa 0.0000 0.3858 0.2179 [4 per cell]  3 N 2.24-2.39
Mo 0.0000 0.2955 0.5297 [4 per cell]  4 N 2.01-2.14
N 0.0000 0.9995 0.2920 [4 per cell]  1 Mg 2.04
N 0.0000 0.1377 0.5225 [4 per cell]  1 Mo 2.08, 1 Mg 2.17
N 0.0000 0.1937 0.8990 [4 per cell]  2 Mo 2.14, 1 Pa 2.32
N 0.0000 0.2177 0.1859 [4 per cell]  3 Pa 2.24-2.38, 2 Mo 2.30
N 0.0000 0.4415 0.5912 [4 per cell]  2 Mg 1.98, 1 Mo 2.01

---

# 17
DFT (PBE-GGA) results for an optimized crystal structure of TaTeSeBr2.

Its energy above the most stable polymorph in this dataset is 0.00 kcal/mol of atoms. Its density of states at the Fermi level is 4.49 states/eV/f.u.

Unit cell a=5.1770 b=5.1770 c=5.0788 alpha=90.00 beta=90.00 gamma=90.00
With the nearest neighbours (Å) after each atom.
Space group P4/mmm (No. 123)
Unique sites:
Ta 0.0000 0.0000 0.0000 [1 per cell]  2 Se 2.54, 4 Br 2.59
Te 0.5000 0.5000 0.5000 [1 per cell]  8 Br 3.63, 4 Se 3.66
Se 0.0000 0.0000 0.5000 [1 per cell]  2 Ta 2.54
Br 0.0000 0.5000 0.0000 [2 per cell]  2 Ta 2.59

---

# 18
DFT (PBE-GGA) results for an optimized crystal structure of SrCrOs4.

Its formation energy is 3.8 eV/f.u. Its density of states at the Fermi level is 7.77 states/eV/f.u.

Unit cell a=7.5082 b=7.5082 c=7.5082 alpha=90.00 beta=90.00 gamma=90.00
With the nearest neighbours (Å) after each atom.
Space group F-43m (No. 216)
Unique sites:
Sr 0.0000 0.0000 0.0000 [4 per cell]  12 Os 3.11, 4 Cr 3.25
Cr 0.2500 0.2500 0.7500 [4 per cell]  12 Os 3.11, 4 Sr 3.25
Os 0.1241 0.1241 0.3759 [16 per cell]  6 Os 2.63-2.67

---

# 19
DFT (PBE-GGA) results for an optimized crystal structure of Dy2TmPaN4.

Its total energy is -8.790 eV/atom. Its density of states at the Fermi level is 3.50 states/eV/f.u.

Unit cell a=5.9708 b=3.4769 c=5.9848 alpha=90.00 beta=109.16 gamma=90.00
With the nearest neighbours (Å) after each atom.
Space group P2/m (No. 10)
Unique sites:
Dy 0.0000 0.0000 0.0000 [1 per cell]  6 N 2.49-2.52
Dy 0.5000 0.5000 0.0000 [1 per cell]  6 N 2.46-2.48
Tm 0.0000 0.5000 0.5000 [1 per cell]  6 N 2.41-2.44
Pa 0.5000 0.0000 0.5000 [1 per cell]  6 N 2.35-2.42
N 0.2546 0.0000 0.7373 [2 per cell]  1 Pa 2.35, 2 Tm 2.44, 3 Dy 2.48-2.52
N 0.2555 0.5000 0.2602 [2 per cell]  1 Tm 2.41, 2 Pa 2.42, 3 Dy 2.46-2.49

---

# 20
DFT (PBE-GGA) results for an optimized crystal structure of ZnHgOs2.

Its formation energy is 2.4 eV/f.u. Its energy above the most stable polymorph in this dataset is 7.20 kcal/mol of atoms. Its density of states at the Fermi level is 3.70 states/eV/f.u.

Unit cell a=2.8080 b=4.8753 c=9.6924 alpha=90.00 beta=90.00 gamma=90.00
With the nearest neighbours (Å) after each atom.
Space group Cmm2 (No. 35)
Unique sites:
Zn 0.0000 0.0000 0.0000 [2 per cell]  2 Os 2.66, 6 Zn 2.81, 2 Hg 2.97
Hg 0.0000 0.5000 0.2703 [2 per cell]  6 Hg 2.81, 2 Zn 2.97, 2 Os 3.00
Os 0.0000 0.0000 0.5441 [2 per cell]  8 Os 2.58-2.81
Os 0.0000 0.5000 0.7670 [2 per cell]  8 Os 2.58-2.81, 2 Zn 2.66